Density functional theory data (GGA-PBE) for a relaxed structure of MoP2.

Lattice parameters (Å, degrees): 4.649 4.649 6.406 84.95 84.95 40.51
Fractional positions:
Mo 0.033 0.033 0.956
Mo 0.321 0.321 0.355
P 0.655 0.655 0.662
P 0.603 0.603 0.259
P 0.899 0.899 0.621
P 0.323 0.323 0.980

## Properties
Its energy is -7.3202 eV per atom. For the formation energy from the elements, the calculation gives -0.10 eV per atom.